[1]
Entry from Alexandria via LeMat-Bulk: an optimized crystal structure of BaFe2 (PBE).

a b c (Å): 6.6115 6.6115 6.6115
angles (deg): 136.87 136.87 62.64
With the nearest neighbours (Å) after each atom.
Positions (direct):
Ba 0.2500 0.2500 0.0000  8 Fe 3.34, 4 Ba 3.44
Ba 0.7500 0.7500 0.0000  8 Fe 3.34, 4 Ba 3.44
Fe 0.1811 0.6811 0.8621  5 Fe 2.49-2.52
Fe 0.3189 0.1811 0.5000  5 Fe 2.49-2.52
Fe 0.6811 0.8189 0.5000  5 Fe 2.49-2.52
Fe 0.8189 0.3189 0.1379  5 Fe 2.49-2.52

Values from the calculation:
Energy = -0.4161 Ry per atom
Crystal system = tetragonal

[2]
Entry from Alexandria via LeMat-Bulk: an optimized crystal structure of BaFe (PBE).

a b c (Å): 3.5390 3.5390 9.3836
angles (deg): 90.00 90.00 90.00
With the nearest neighbours (Å) after each atom.
Positions (direct):
Ba 0.2500 0.2500 0.2132  1 Fe 3.01
Ba 0.7500 0.7500 0.7868  1 Fe 3.01
Fe 0.2500 0.2500 0.5339  4 Fe 2.58
Fe 0.7500 0.7500 0.4661  4 Fe 2.58

Values from the calculation:
Energy = -0.3407 Ry per atom
Crystal system = tetragonal

[3]
Entry from Alexandria via LeMat-Bulk: an optimized crystal structure of BaFe2 (PBE).

a b c (Å): 3.4640 3.4640 5.6099
angles (deg): 90.00 90.00 90.00
With the nearest neighbours (Å) after each atom.
Positions (direct):
Ba 0.0000 0.0000 0.0000  8 Fe 3.30, 4 Ba 3.46
Fe 0.0000 0.5000 0.5000  4 Fe 2.45
Fe 0.5000 0.0000 0.5000  4 Fe 2.45

Values from the calculation:
Energy = -0.4065 Ry per atom
Crystal system = tetragonal

[4]
Entry from Alexandria via LeMat-Bulk: an optimized crystal structure of Ba3Fe (PBE).

a b c (Å): 8.2616 8.2616 5.7647
angles (deg): 90.00 90.00 120.00
With the nearest neighbours (Å) after each atom.
Positions (direct):
Ba 0.1821 0.3643 0.2500  2 Fe 3.60, 6 Ba 3.75-3.89
Ba 0.1821 0.8179 0.2500  2 Fe 3.60, 6 Ba 3.75-3.89
Ba 0.3643 0.1821 0.7500  2 Fe 3.60, 6 Ba 3.75-3.89
Ba 0.6357 0.8179 0.2500  2 Fe 3.60, 6 Ba 3.75-3.89
Ba 0.8179 0.1821 0.7500  2 Fe 3.60, 6 Ba 3.75-3.89
Ba 0.8179 0.6357 0.7500  2 Fe 3.60, 6 Ba 3.75-3.89
Fe 0.3333 0.6667 0.7500  6 Ba 3.60
Fe 0.6667 0.3333 0.2500  6 Ba 3.60

Values from the calculation:
Energy = -0.2174 Ry per atom
Crystal system = hexagonal

[5]
Entry from Alexandria via LeMat-Bulk: an optimized crystal structure of Ba3Fe (PBE).

a b c (Å): 4.3390 4.3390 11.8582
angles (deg): 90.00 90.00 120.00
With the nearest neighbours (Å) after each atom.
Positions (direct):
Ba 0.0000 0.0000 0.0000  12 Ba 4.34-4.55
Ba 0.3333 0.6667 0.3208  3 Fe 3.28
Ba 0.3333 0.6667 0.6792  3 Fe 3.28
Fe 0.0000 0.0000 0.5000  6 Ba 3.28

Values from the calculation:
Energy = -0.2212 Ry per atom
Crystal system = hexagonal

[6]
Entry from Alexandria via LeMat-Bulk: an optimized crystal structure of BaFe2 (PBE).

a b c (Å): 11.1913 11.1913 3.8518
angles (deg): 90.00 90.00 164.08
With the nearest neighbours (Å) after each atom.
Positions (direct):
Ba 0.1156 0.8844 0.7500  2 Ba 3.10, 10 Fe 3.29-3.47
Ba 0.8844 0.1156 0.2500  2 Ba 3.10, 10 Fe 3.29-3.47
Fe 0.2443 0.7557 0.2500  4 Fe 2.49
Fe 0.4821 0.5179 0.7500  2 Fe 2.08
Fe 0.5179 0.4821 0.2500  2 Fe 2.08
Fe 0.7557 0.2443 0.7500  4 Fe 2.49

Values from the calculation:
Energy = -0.3967 Ry per atom
Crystal system = orthorhombic

[7]
Entry from Alexandria via LeMat-Bulk: an optimized crystal structure of BaFe (PBE).

a b c (Å): 8.7210 8.7210 8.7210
angles (deg): 90.00 90.00 90.00
With the nearest neighbours (Å) after each atom.
Positions (direct):
Ba 0.0000 0.2500 0.5000  4 Fe 3.08
Ba 0.0000 0.7500 0.5000  4 Fe 3.08
Ba 0.2500 0.5000 0.0000  4 Fe 3.08
Ba 0.5000 0.0000 0.2500  4 Fe 3.08
Ba 0.5000 0.0000 0.7500  4 Fe 3.08
Ba 0.7500 0.5000 0.0000  4 Fe 3.08
Fe 0.0000 0.5000 0.2500  4 Ba 3.08
Fe 0.0000 0.5000 0.7500  4 Ba 3.08
Fe 0.2500 0.0000 0.5000  4 Ba 3.08
Fe 0.5000 0.2500 0.0000  4 Ba 3.08
Fe 0.5000 0.7500 0.0000  4 Ba 3.08
Fe 0.7500 0.0000 0.5000  4 Ba 3.08

Values from the calculation:
Energy = -0.2633 Ry per atom
Crystal system = cubic

[8]
Entry from Alexandria via LeMat-Bulk: an optimized crystal structure of BaFe3 (PBE).

a b c (Å): 4.6580 4.6580 4.6580
angles (deg): 60.00 60.00 60.00
With the nearest neighbours (Å) after each atom.
Positions (direct):
Ba 0.0000 0.0000 0.0000  8 Fe 2.85
Fe 0.2500 0.2500 0.2500  4 Fe 2.85, 4 Ba 2.85
Fe 0.5000 0.5000 0.5000  8 Fe 2.85
Fe 0.7500 0.7500 0.7500  4 Fe 2.85, 4 Ba 2.85

Values from the calculation:
Energy = -0.4221 Ry per atom
Crystal system = cubic

[9]
Entry from Alexandria via LeMat-Bulk: an optimized crystal structure of Ba3Fe (PBE).

a b c (Å): 4.1243 4.1243 10.7882
angles (deg): 90.00 90.00 90.00
With the nearest neighbours (Å) after each atom.
Positions (direct):
Ba 0.0000 0.0000 0.0000  12 Ba 4.12-4.57
Ba 0.5000 0.5000 0.3267  4 Fe 3.46, 1 Ba 3.74
Ba 0.5000 0.5000 0.6733  4 Fe 3.46, 1 Ba 3.74
Fe 0.0000 0.0000 0.5000  8 Ba 3.46

Values from the calculation:
Energy = -0.2293 Ry per atom
Crystal system = tetragonal

[10]
Entry from Alexandria via LeMat-Bulk: an optimized crystal structure of BaFe5 (PBE).

a b c (Å): 5.1527 5.1527 5.1527
angles (deg): 60.00 60.00 60.00
With the nearest neighbours (Å) after each atom.
Positions (direct):
Ba 0.0000 0.0000 0.0000  16 Fe 3.03-3.16
Fe 0.3776 0.3776 0.3776  6 Fe 2.52-2.63
Fe 0.3776 0.3776 0.8673  6 Fe 2.52-2.63
Fe 0.3776 0.8673 0.3776  6 Fe 2.52-2.63
Fe 0.7500 0.7500 0.7500  12 Fe 3.02, 4 Ba 3.16
Fe 0.8673 0.3776 0.3776  6 Fe 2.52-2.63

Values from the calculation:
Energy = -0.4966 Ry per atom
Crystal system = cubic

[11]
Entry from Alexandria via LeMat-Bulk: an optimized crystal structure of BaFe3 (PBE).

a b c (Å): 7.1143 7.1143 7.6656
angles (deg): 90.00 90.00 120.00
With the nearest neighbours (Å) after each atom.
Positions (direct):
Ba 0.0000 0.0000 0.0000  12 Fe 3.37-3.56
Ba 0.0000 0.0000 0.5000  12 Fe 3.37-3.56
Ba 0.3333 0.6667 0.2500  6 Fe 2.81
Ba 0.6667 0.3333 0.7500  6 Fe 2.81
Fe 0.0000 0.5000 0.0000  4 Fe 2.63, 2 Ba 2.81
Fe 0.0000 0.5000 0.5000  4 Fe 2.63, 2 Ba 2.81
Fe 0.2253 0.4507 0.7500  2 Fe 2.30
Fe 0.2253 0.7747 0.7500  2 Fe 2.30
Fe 0.4507 0.2253 0.2500  2 Fe 2.30
Fe 0.5000 0.0000 0.0000  4 Fe 2.63, 2 Ba 2.81
Fe 0.5000 0.0000 0.5000  4 Fe 2.63, 2 Ba 2.81
Fe 0.5000 0.5000 0.0000  4 Fe 2.63, 2 Ba 2.81
Fe 0.5000 0.5000 0.5000  4 Fe 2.63, 2 Ba 2.81
Fe 0.5493 0.7747 0.7500  2 Fe 2.30
Fe 0.7747 0.2253 0.2500  2 Fe 2.30
Fe 0.7747 0.5493 0.2500  2 Fe 2.30

Values from the calculation:
Energy = -0.4425 Ry per atom
Crystal system = hexagonal

[12]
Entry from Alexandria via LeMat-Bulk: an optimized crystal structure of BaFe (PBE).

a b c (Å): 8.7225 8.7225 8.7225
angles (deg): 93.36 93.36 151.98
With the nearest neighbours (Å) after each atom.
Positions (direct):
Ba 0.0000 0.2551 0.2551  6 Fe 3.25-3.47
Ba 0.0000 0.7449 0.7449  6 Fe 3.25-3.47
Ba 0.2551 0.0000 0.2551  6 Fe 3.25-3.47
Ba 0.7449 0.0000 0.7449  6 Fe 3.25-3.47
Fe 0.2712 0.2712 0.5424  2 Fe 2.23
Fe 0.2712 0.7288 0.0000  2 Fe 2.23
Fe 0.7288 0.2712 0.0000  2 Fe 2.23
Fe 0.7288 0.7288 0.4576  2 Fe 2.23

Values from the calculation:
Energy = -0.3368 Ry per atom
Crystal system = tetragonal